(1)
Material: Ac6PRh2I2
Method: DFT, GGA-PBE
State: relaxed

Computed properties:
Spin magnetization, μB/cell: 0.6
Space group: C2/m (12)
Uncorrected formation energy, meV/atom: -907

Lattice parameters (Å, degrees): 7.661 7.661 8.698 98.15 98.15 118.79
Fractional positions:
Ac 0.099 0.437 0.809
Ac 0.211 0.211 0.189
Ac 0.437 0.099 0.809
Ac 0.563 0.901 0.191
Ac 0.789 0.789 0.811
Ac 0.901 0.563 0.191
P 0.500 0.500 0.000
Rh 0.170 0.830 0.000
Rh 0.830 0.170 0.000
I 0.336 0.664 0.500
I 0.664 0.336 0.500



(2)
Material: In2Sn3Pb2
Method: DFT, GGA-PBE
State: relaxed

Computed properties:
Spin magnetization, μB/cell: 0.0
Formation energy, eV per formula unit: 0.28
Space group: C2/m (12)
Energy above the most stable polymorph in this dataset, kJ per mole of atoms: 0.0

Lattice parameters (Å, degrees): 6.174 6.174 9.041 93.79 93.79 35.50
Fractional positions:
In 0.083 0.083 0.225
In 0.917 0.917 0.775
Sn 0.208 0.208 0.631
Sn 0.500 0.500 0.500
Sn 0.792 0.792 0.369
Pb 0.363 0.363 0.079
Pb 0.637 0.637 0.921



(3)
Material: In2Ag5Au2
Method: DFT, GGA-PBE
State: relaxed

Computed properties:
Spin magnetization, μB/cell: 0.0
Formation energy, eV per formula unit: -0.27
Space group: Cc (9)
Energy above the most stable polymorph in this dataset, kJ per mole of atoms: 0.0

Lattice parameters (Å, degrees): 8.455 8.455 5.796 109.05 109.05 68.83
Fractional positions:
In 0.001 0.489 0.534
In 0.242 0.758 0.500
In 0.489 0.001 0.034
In 0.758 0.242 0.000
Ag 0.085 0.139 0.622
Ag 0.139 0.085 0.122
Ag 0.324 0.338 0.360
Ag 0.338 0.324 0.860
Ag 0.526 0.527 0.291
Ag 0.527 0.526 0.791
Ag 0.719 0.720 0.246
Ag 0.720 0.719 0.746
Ag 0.911 0.916 0.675
Ag 0.916 0.911 0.175
Au 0.211 0.705 0.960
Au 0.453 0.986 0.514
Au 0.705 0.211 0.460
Au 0.986 0.453 0.014



(4)
Material: K6Hg2H
Method: DFT, GGA-PBE
State: relaxed

Computed properties:
Spin magnetization, μB/cell: 0.0
Space group: P2_1/c (14)

Lattice parameters (Å, degrees): 7.739 8.917 13.579 90.00 123.75 90.00
Fractional positions:
K 0.147 0.168 0.457
K 0.147 0.332 0.957
K 0.295 0.706 0.454
K 0.295 0.794 0.954
K 0.351 0.016 0.256
K 0.351 0.484 0.756
K 0.649 0.516 0.244
K 0.649 0.984 0.744
K 0.705 0.206 0.046
K 0.705 0.294 0.546
K 0.853 0.668 0.043
K 0.853 0.832 0.543
Hg 0.205 0.102 0.755
Hg 0.205 0.398 0.255
Hg 0.795 0.602 0.745
Hg 0.795 0.898 0.245
H 0.500 0.000 0.500
H 0.500 0.500 0.000



no.,final energy (eV per atom)
1,-5.258
2,-3.518
3,-2.951
4,-1.283